#P
VASP calculation (PBE) on crystalline Sb2Pd2I at its relaxed geometry.

Computed properties:
Total magnetic moment in μB per cell: 0.00
N(E_F) in states/eV/f.u.: 2.3

Cell: 8.0327 8.0327 3.6154 Å, 90.00 90.00 90.00°
With the nearest neighbours (Å) after each atom.
Space group P4/mbm (No. 127)
Inequivalent atoms, fractional coordinates:
Sb (0.1399, 0.3601, 0.0000)  4 Pd 2.82
Pd (0.1288, 0.6288, 0.5000)  4 Sb 2.82, 1 Pd 2.93
I (0.0000, 0.0000, 0.5000)  4 Pd 3.16


#Q
VASP calculation (PBE) on crystalline Sb2Pd2I at its relaxed geometry.

Computed properties:
Total magnetic moment in μB per cell: 0.00
N(E_F) in states/eV/f.u.: 1.7

Cell: 3.9874 3.9874 16.3683 Å, 90.00 90.00 90.00°
With the nearest neighbours (Å) after each atom.
Space group I4/mmm (No. 139)
Inequivalent atoms, fractional coordinates:
Sb (0.0000, 0.0000, 0.1391)  4 Pd 2.70
Pd (0.0000, 0.5000, 0.2500)  4 Sb 2.70, 4 Pd 2.82
I (0.0000, 0.0000, 0.5000)  8 Sb 3.62, 4 I 3.99


Tell me which of them is the most stable. Sure, it is #Q.


#P
VASP calculation (PBE) on crystalline SbPdI2 at its relaxed geometry.

Computed properties:
Total magnetic moment in μB per cell: 0.00
N(E_F) in states/eV/f.u.: 2.1

Cell: 7.5481 7.5481 7.5481 Å, 90.00 90.00 90.00°
With the nearest neighbours (Å) after each atom.
Space group Fm-3m (No. 225)
Inequivalent atoms, fractional coordinates:
Sb (0.0000, 0.0000, 0.0000)  8 I 3.27
Pd (0.0000, 0.0000, 0.5000)  8 I 3.27
I (0.2500, 0.2500, 0.2500)  4 Pd 3.27, 4 Sb 3.27


#Q
VASP calculation (PBE) on crystalline SbPdI2 at its relaxed geometry.

Computed properties:
Total magnetic moment in μB per cell: 0.00
N(E_F) in states/eV/f.u.: 4.6

Cell: 5.8201 5.8201 16.6069 Å, 90.00 90.00 90.00°
With the nearest neighbours (Å) after each atom.
Space group I-42d (No. 122)
Inequivalent atoms, fractional coordinates:
Sb (0.0000, 0.0000, 0.0000)  4 I 3.03
Pd (0.0000, 0.0000, 0.5000)  4 I 2.82
I (0.2134, 0.2500, 0.6250)  2 Pd 2.82, 2 Sb 3.03


Tell me which of them is the most stable. Sure, it is #Q.